(P)
A plane-wave DFT calculation with PBE was carried out for a relaxed structure of MnCoTcGeSe.

- DOS(E_F): 0.678 states/eV per atom
- Spin magnetization: 1.64 μB per formula unit

Geometry as CIF:
```
data_MnCoTcGeSe
_cell_length_a 8.5165
_cell_length_b 3.0377
_cell_length_c 7.4820
_cell_angle_alpha 90.00
_cell_angle_beta 120.58
_cell_angle_gamma 90.00
_space_group_name_H-M_alt 'C 1 m 1'
_space_group_IT_number 8
_space_group_name_Hall 'C -2y'
loop_
_atom_site_label
_atom_site_type_symbol
_atom_site_fract_x
_atom_site_fract_y
_atom_site_fract_z
Mn1 Mn 0.0000 0.0000 0.0000
Co1 Co 0.2782 0.5000 0.1273
Tc1 Tc 0.0661 0.5000 0.2900
Ge1 Ge 0.3516 0.0000 0.4357
Se1 Se 0.2181 0.0000 0.8584
```

(Q)
A plane-wave DFT calculation with PBE was carried out for a relaxed structure of MnCoTcGeSe.

- DOS(E_F): 0.721 states/eV per atom
- Spin magnetization: 2.81 μB per formula unit

Geometry as CIF:
```
data_MnCoTcGeSe
_cell_length_a 9.2883
_cell_length_b 2.9341
_cell_length_c 6.0769
_cell_angle_alpha 90.00
_cell_angle_beta 114.58
_cell_angle_gamma 90.00
_space_group_name_H-M_alt 'C 1 m 1'
_space_group_IT_number 8
_space_group_name_Hall 'C -2y'
loop_
_atom_site_label
_atom_site_type_symbol
_atom_site_fract_x
_atom_site_fract_y
_atom_site_fract_z
Mn1 Mn 0.0000 0.0000 0.0000
Co1 Co 0.3948 0.5000 0.5348
Tc1 Tc 0.1596 0.5000 0.8098
Ge1 Ge 0.3370 0.0000 0.1700
Se1 Se 0.1720 0.0000 0.4862
```

Of them, (Q) has the lowest stability.

(P)
A plane-wave DFT calculation with PBE was carried out for a relaxed structure of Co3GeMo.

- DOS(E_F): 2.623 states/eV per atom
- Spin magnetization: 1.51 μB per formula unit

Geometry as CIF:
```
data_Co3GeMo
_cell_length_a 4.4333
_cell_length_b 4.4333
_cell_length_c 4.4333
_cell_angle_alpha 90.00
_cell_angle_beta 90.00
_cell_angle_gamma 90.00
_space_group_name_H-M_alt 'P m -3 m'
_space_group_IT_number 221
_space_group_name_Hall '-P 4 2 3'
loop_
_atom_site_label
_atom_site_type_symbol
_atom_site_fract_x
_atom_site_fract_y
_atom_site_fract_z
Co1 Co 0.0000 0.0000 0.5000
Ge1 Ge 0.5000 0.5000 0.5000
Mo1 Mo 0.0000 0.0000 0.0000
```

(Q)
A plane-wave DFT calculation with PBE was carried out for a relaxed structure of Co3GeMo.

- DOS(E_F): 0.869 states/eV per atom
- Spin magnetization: 5.24 μB per formula unit

Geometry as CIF:
```
data_Co3GeMo
_cell_length_a 4.2354
_cell_length_b 4.2354
_cell_length_c 4.2354
_cell_angle_alpha 90.00
_cell_angle_beta 90.00
_cell_angle_gamma 90.00
_space_group_name_H-M_alt 'P m -3 m'
_space_group_IT_number 221
_space_group_name_Hall '-P 4 2 3'
loop_
_atom_site_label
_atom_site_type_symbol
_atom_site_fract_x
_atom_site_fract_y
_atom_site_fract_z
Co1 Co 0.0000 0.0000 0.5000
Ge1 Ge 0.0000 0.0000 0.0000
Mo1 Mo 0.5000 0.5000 0.5000
```

Of them, (P) has the lowest stability.

(P)
A plane-wave DFT calculation with PBE was carried out for a relaxed structure of CoGe2N2.

- DOS(E_F): 0.487 states/eV per atom
- Spin magnetization: 1.16 μB per formula unit

Geometry as CIF:
```
data_CoGe2N2
_cell_length_a 6.4969
_cell_length_b 6.4969
_cell_length_c 3.0243
_cell_angle_alpha 90.00
_cell_angle_beta 90.00
_cell_angle_gamma 90.00
_space_group_name_H-M_alt 'P 4/m b m'
_space_group_IT_number 127
_space_group_name_Hall '-P 4 2ab'
loop_
_atom_site_label
_atom_site_type_symbol
_atom_site_fract_x
_atom_site_fract_y
_atom_site_fract_z
Co1 Co 0.0000 0.0000 0.0000
Ge1 Ge 0.1349 0.3651 0.0000
N1 N 0.2462 0.7462 0.5000
```

(Q)
A plane-wave DFT calculation with PBE was carried out for a relaxed structure of CoGe2N2.

- DOS(E_F): 1.195 states/eV per atom
- Spin magnetization: 1.60 μB per formula unit

Geometry as CIF:
```
data_CoGe2N2
_cell_length_a 4.0093
_cell_length_b 4.0093
_cell_length_c 7.4250
_cell_angle_alpha 90.00
_cell_angle_beta 90.00
_cell_angle_gamma 90.00
_space_group_name_H-M_alt 'I 4/m m m'
_space_group_IT_number 139
_space_group_name_Hall '-I 4 2'
loop_
_atom_site_label
_atom_site_type_symbol
_atom_site_fract_x
_atom_site_fract_y
_atom_site_fract_z
Co1 Co 0.0000 0.0000 0.0000
Ge1 Ge 0.0000 0.0000 0.3335
N1 N 0.0000 0.5000 0.2500
```

Of them, (Q) has the lowest stability.

(P)
A plane-wave DFT calculation with PBE was carried out for a relaxed structure of CoGeSN2.

- DOS(E_F): 1.151 states/eV per atom
- Spin magnetization: 4.20 μB per formula unit

Geometry as CIF:
```
data_CoGeSN2
_cell_length_a 3.6502
_cell_length_b 3.6502
_cell_length_c 5.3637
_cell_angle_alpha 90.00
_cell_angle_beta 90.00
_cell_angle_gamma 90.00
_space_group_name_H-M_alt 'P 4/m m m'
_space_group_IT_number 123
_space_group_name_Hall '-P 4 2'
loop_
_atom_site_label
_atom_site_type_symbol
_atom_site_fract_x
_atom_site_fract_y
_atom_site_fract_z
Co1 Co 0.0000 0.0000 0.0000
Ge1 Ge 0.5000 0.5000 0.5000
S1 S 0.5000 0.5000 0.0000
N1 N 0.0000 0.5000 0.5000
```

(Q)
A plane-wave DFT calculation with PBE was carried out for a relaxed structure of CoGeSN2.

- DOS(E_F): 0.814 states/eV per atom
- Spin magnetization: 0.00 μB per formula unit

Geometry as CIF:
```
data_CoGeSN2
_cell_length_a 3.6431
_cell_length_b 3.6431
_cell_length_c 4.9052
_cell_angle_alpha 90.00
_cell_angle_beta 90.00
_cell_angle_gamma 90.00
_space_group_name_H-M_alt 'P 4/m m m'
_space_group_IT_number 123
_space_group_name_Hall '-P 4 2'
loop_
_atom_site_label
_atom_site_type_symbol
_atom_site_fract_x
_atom_site_fract_y
_atom_site_fract_z
Co1 Co 0.0000 0.0000 0.0000
Ge1 Ge 0.5000 0.5000 0.5000
S1 S 0.0000 0.0000 0.5000
N1 N 0.0000 0.5000 0.0000
```

Of them, (P) has the lowest stability.

(P)
A plane-wave DFT calculation with PBE was carried out for a relaxed structure of CoGeSeN2.

- DOS(E_F): 0.810 states/eV per atom
- Spin magnetization: 2.73 μB per formula unit

Geometry as CIF:
```
data_CoGeSeN2
_cell_length_a 3.6010
_cell_length_b 3.6010
_cell_length_c 6.5226
_cell_angle_alpha 90.00
_cell_angle_beta 90.00
_cell_angle_gamma 90.00
_space_group_name_H-M_alt 'P 4/m m m'
_space_group_IT_number 123
_space_group_name_Hall '-P 4 2'
loop_
_atom_site_label
_atom_site_type_symbol
_atom_site_fract_x
_atom_site_fract_y
_atom_site_fract_z
Co1 Co 0.0000 0.0000 0.0000
Ge1 Ge 0.5000 0.5000 0.5000
Se1 Se 0.5000 0.5000 0.0000
N1 N 0.0000 0.5000 0.5000
```

(Q)
A plane-wave DFT calculation with PBE was carried out for a relaxed structure of CoGeSeN2.

- DOS(E_F): 0.949 states/eV per atom
- Spin magnetization: 1.68 μB per formula unit

Geometry as CIF:
```
data_CoGeSeN2
_cell_length_a 3.7115
_cell_length_b 3.7115
_cell_length_c 5.0769
_cell_angle_alpha 90.00
_cell_angle_beta 90.00
_cell_angle_gamma 90.00
_space_group_name_H-M_alt 'P 4/m m m'
_space_group_IT_number 123
_space_group_name_Hall '-P 4 2'
loop_
_atom_site_label
_atom_site_type_symbol
_atom_site_fract_x
_atom_site_fract_y
_atom_site_fract_z
Co1 Co 0.0000 0.0000 0.0000
Ge1 Ge 0.5000 0.5000 0.5000
Se1 Se 0.0000 0.0000 0.5000
N1 N 0.0000 0.5000 0.0000
```

Of them, (P) has the lowest stability.

(P)
A plane-wave DFT calculation with PBE was carried out for a relaxed structure of SrCo2GeN.

- DOS(E_F): 1.702 states/eV per atom
- Spin magnetization: 4.07 μB per formula unit

Geometry as CIF:
```
data_SrCo2GeN
_cell_length_a 4.8929
_cell_length_b 4.8929
_cell_length_c 5.8669
_cell_angle_alpha 90.00
_cell_angle_beta 90.00
_cell_angle_gamma 90.00
_space_group_name_H-M_alt 'P 4/m m m'
_space_group_IT_number 123
_space_group_name_Hall '-P 4 2'
loop_
_atom_site_label
_atom_site_type_symbol
_atom_site_fract_x
_atom_site_fract_y
_atom_site_fract_z
Sr1 Sr 0.0000 0.0000 0.0000
Co1 Co 0.0000 0.5000 0.0000
Ge1 Ge 0.0000 0.0000 0.5000
N1 N 0.5000 0.5000 0.5000
```

(Q)
A plane-wave DFT calculation with PBE was carried out for a relaxed structure of SrCo2GeN.

- DOS(E_F): 0.659 states/eV per atom
- Spin magnetization: 0.00 μB per formula unit

Geometry as CIF:
```
data_SrCo2GeN
_cell_length_a 3.9377
_cell_length_b 10.8695
_cell_length_c 6.8765
_cell_angle_alpha 90.00
_cell_angle_beta 90.00
_cell_angle_gamma 90.00
_space_group_name_H-M_alt 'C m c m'
_space_group_IT_number 63
_space_group_name_Hall '-C 2c 2'
loop_
_atom_site_label
_atom_site_type_symbol
_atom_site_fract_x
_atom_site_fract_y
_atom_site_fract_z
Sr1 Sr 0.0000 0.0520 0.2500
Co1 Co 0.0000 0.3436 0.0576
Ge1 Ge 0.0000 0.2268 0.7500
N1 N 0.0000 0.5000 0.0000
```

Of them, (P) has the lowest stability.

(P)
A plane-wave DFT calculation with PBE was carried out for a relaxed structure of CoGeTe2N.

- DOS(E_F): 1.202 states/eV per atom
- Spin magnetization: 2.20 μB per formula unit

Geometry as CIF:
```
data_CoGeTe2N
_cell_length_a 5.5994
_cell_length_b 5.5994
_cell_length_c 3.4809
_cell_angle_alpha 90.00
_cell_angle_beta 90.00
_cell_angle_gamma 90.00
_space_group_name_H-M_alt 'P 4/m m m'
_space_group_IT_number 123
_space_group_name_Hall '-P 4 2'
loop_
_atom_site_label
_atom_site_type_symbol
_atom_site_fract_x
_atom_site_fract_y
_atom_site_fract_z
Co1 Co 0.0000 0.0000 0.0000
Ge1 Ge 0.5000 0.5000 0.5000
Te1 Te 0.0000 0.5000 0.5000
N1 N 0.5000 0.5000 0.0000
```

(Q)
A plane-wave DFT calculation with PBE was carried out for a relaxed structure of CoGeTe2N.

- DOS(E_F): 0.576 states/eV per atom
- Spin magnetization: 0.00 μB per formula unit

Geometry as CIF:
```
data_CoGeTe2N
_cell_length_a 5.3686
_cell_length_b 5.3686
_cell_length_c 3.4138
_cell_angle_alpha 90.00
_cell_angle_beta 90.00
_cell_angle_gamma 90.00
_space_group_name_H-M_alt 'P 4/m m m'
_space_group_IT_number 123
_space_group_name_Hall '-P 4 2'
loop_
_atom_site_label
_atom_site_type_symbol
_atom_site_fract_x
_atom_site_fract_y
_atom_site_fract_z
Co1 Co 0.0000 0.0000 0.0000
Ge1 Ge 0.5000 0.5000 0.5000
Te1 Te 0.0000 0.5000 0.0000
N1 N 0.0000 0.0000 0.5000
```

Of them, (P) has the lowest stability.

(P)
A plane-wave DFT calculation with PBE was carried out for a relaxed structure of CoGeTeN2.

- DOS(E_F): 0.845 states/eV per atom
- Spin magnetization: 3.32 μB per formula unit

Geometry as CIF:
```
data_CoGeTeN2
_cell_length_a 3.8561
_cell_length_b 3.8561
_cell_length_c 5.2811
_cell_angle_alpha 90.00
_cell_angle_beta 90.00
_cell_angle_gamma 90.00
_space_group_name_H-M_alt 'P 4/m m m'
_space_group_IT_number 123
_space_group_name_Hall '-P 4 2'
loop_
_atom_site_label
_atom_site_type_symbol
_atom_site_fract_x
_atom_site_fract_y
_atom_site_fract_z
Co1 Co 0.0000 0.0000 0.0000
Ge1 Ge 0.5000 0.5000 0.5000
Te1 Te 0.0000 0.0000 0.5000
N1 N 0.0000 0.5000 0.0000
```

(Q)
A plane-wave DFT calculation with PBE was carried out for a relaxed structure of CoGeTeN2.

- DOS(E_F): 0.723 states/eV per atom
- Spin magnetization: 2.46 μB per formula unit

Geometry as CIF:
```
data_CoGeTeN2
_cell_length_a 3.6676
_cell_length_b 3.6676
_cell_length_c 6.9046
_cell_angle_alpha 90.00
_cell_angle_beta 90.00
_cell_angle_gamma 90.00
_space_group_name_H-M_alt 'P 4/m m m'
_space_group_IT_number 123
_space_group_name_Hall '-P 4 2'
loop_
_atom_site_label
_atom_site_type_symbol
_atom_site_fract_x
_atom_site_fract_y
_atom_site_fract_z
Co1 Co 0.0000 0.0000 0.0000
Ge1 Ge 0.5000 0.5000 0.5000
Te1 Te 0.5000 0.5000 0.0000
N1 N 0.0000 0.5000 0.5000
```

Of them, (Q) has the lowest stability.

(P)
A plane-wave DFT calculation with PBE was carried out for a relaxed structure of NaCo3Ge.

- DOS(E_F): 1.335 states/eV per atom
- Spin magnetization: 4.71 μB per formula unit

Geometry as CIF:
```
data_NaCo3Ge
_cell_length_a 4.3532
_cell_length_b 4.3532
_cell_length_c 4.3532
_cell_angle_alpha 90.00
_cell_angle_beta 90.00
_cell_angle_gamma 90.00
_space_group_name_H-M_alt 'P m -3 m'
_space_group_IT_number 221
_space_group_name_Hall '-P 4 2 3'
loop_
_atom_site_label
_atom_site_type_symbol
_atom_site_fract_x
_atom_site_fract_y
_atom_site_fract_z
Na1 Na 0.0000 0.0000 0.0000
Co1 Co 0.0000 0.0000 0.5000
Ge1 Ge 0.5000 0.5000 0.5000
```

(Q)
A plane-wave DFT calculation with PBE was carried out for a relaxed structure of NaCo3Ge.

- DOS(E_F): 1.653 states/eV per atom
- Spin magnetization: 4.27 μB per formula unit

Geometry as CIF:
```
data_NaCo3Ge
_cell_length_a 4.4628
_cell_length_b 4.4628
_cell_length_c 4.4628
_cell_angle_alpha 90.00
_cell_angle_beta 90.00
_cell_angle_gamma 90.00
_space_group_name_H-M_alt 'P m -3 m'
_space_group_IT_number 221
_space_group_name_Hall '-P 4 2 3'
loop_
_atom_site_label
_atom_site_type_symbol
_atom_site_fract_x
_atom_site_fract_y
_atom_site_fract_z
Na1 Na 0.0000 0.0000 0.0000
Co1 Co 0.0000 0.5000 0.5000
Ge1 Ge 0.5000 0.5000 0.5000
```

Of them, (P) has the lowest stability.

(P)
A plane-wave DFT calculation with PBE was carried out for a relaxed structure of Na2CoGe2.

- DOS(E_F): 0.794 states/eV per atom
- Spin magnetization: 1.36 μB per formula unit

Geometry as CIF:
```
data_Na2CoGe2
_cell_length_a 3.6549
_cell_length_b 3.6549
_cell_length_c 13.9231
_cell_angle_alpha 90.00
_cell_angle_beta 90.00
_cell_angle_gamma 90.00
_space_group_name_H-M_alt 'I 4/m m m'
_space_group_IT_number 139
_space_group_name_Hall '-I 4 2'
loop_
_atom_site_label
_atom_site_type_symbol
_atom_site_fract_x
_atom_site_fract_y
_atom_site_fract_z
Na1 Na 0.0000 0.5000 0.2500
Co1 Co 0.0000 0.0000 0.0000
Ge1 Ge 0.0000 0.0000 0.4138
```

(Q)
A plane-wave DFT calculation with PBE was carried out for a relaxed structure of Na2CoGe2.

- DOS(E_F): 0.680 states/eV per atom
- Spin magnetization: 0.00 μB per formula unit

Geometry as CIF:
```
data_Na2CoGe2
_cell_length_a 6.2067
_cell_length_b 6.2067
_cell_length_c 5.0902
_cell_angle_alpha 90.00
_cell_angle_beta 90.00
_cell_angle_gamma 90.00
_space_group_name_H-M_alt 'P 4/m b m'
_space_group_IT_number 127
_space_group_name_Hall '-P 4 2ab'
loop_
_atom_site_label
_atom_site_type_symbol
_atom_site_fract_x
_atom_site_fract_y
_atom_site_fract_z
Na1 Na 0.1763 0.3237 0.0000
Co1 Co 0.0000 0.0000 0.5000
Ge1 Ge 0.1576 0.6576 0.5000
```

Of them, (P) has the lowest stability.